No. 1
## Mg3CdIn6 (PBE)

Data for Mg3CdIn6 after structural relaxation.

Calculated values
**SG**: Cmc2_1, No. 36
**ΔE_f**: 0.01 eV/atom
**Total magnetic moment**: 0.00 μB per formula unit
**ΔE to the lowest computed polymorph**: 0.03 eV per formula unit

abc: 9.7534 9.7534 5.7181
angles: 90.00 90.00 109.32
With the nearest neighbours (Å) after each atom.
Atoms (fractional coordinates):
Mg: 0.0619 0.9381 0.5000  1 Cd 2.97, 6 In 3.04-3.28
Mg: 0.2486 0.4787 0.7458  7 In 3.02-3.38, 1 Cd 3.03, 1 Mg 3.08
Mg: 0.4787 0.2486 0.2458  7 In 3.02-3.38, 1 Cd 3.03, 1 Mg 3.08
Mg: 0.5213 0.7514 0.7458  7 In 3.02-3.38, 1 Cd 3.03, 1 Mg 3.08
Mg: 0.7514 0.5213 0.2458  7 In 3.02-3.38, 1 Cd 3.03, 1 Mg 3.08
Mg: 0.9381 0.0619 0.0000  1 Cd 2.97, 6 In 3.04-3.28
Cd: 0.2486 0.7514 0.4930  3 Mg 2.97-3.03, 7 In 3.15-3.30
Cd: 0.7514 0.2486 0.9930  3 Mg 2.97-3.03, 7 In 3.15-3.30
In: 0.0581 0.4867 0.1774  3 In 3.02-3.12, 2 Mg 3.11-3.14, 2 Cd 3.19-3.30
In: 0.1621 0.8379 0.9977  2 Cd 3.15-3.20, 4 In 3.24-3.39, 2 Mg 3.26-3.28
In: 0.1750 0.2523 0.3386  5 In 3.02-3.32, 4 Mg 3.02-3.12
In: 0.2523 0.1750 0.8386  5 In 3.02-3.32, 4 Mg 3.02-3.12
In: 0.4323 0.5677 0.2359  1 Cd 3.27, 6 Mg 3.28-3.38, 6 In 3.32-3.58
In: 0.4867 0.0581 0.6774  3 In 3.02-3.12, 2 Mg 3.11-3.14, 2 Cd 3.19-3.30
In: 0.5133 0.9419 0.1774  3 In 3.02-3.12, 2 Mg 3.11-3.14, 2 Cd 3.19-3.30
In: 0.5677 0.4323 0.7359  1 Cd 3.27, 6 Mg 3.28-3.38, 6 In 3.32-3.58
In: 0.7477 0.8250 0.3386  5 In 3.02-3.32, 4 Mg 3.02-3.12
In: 0.8250 0.7477 0.8386  5 In 3.02-3.32, 4 Mg 3.02-3.12
In: 0.8379 0.1621 0.4977  2 Cd 3.15-3.20, 4 In 3.24-3.39, 2 Mg 3.26-3.28
In: 0.9419 0.5133 0.6774  3 In 3.02-3.12, 2 Mg 3.11-3.14, 2 Cd 3.19-3.30

No. 2
## Mg3Cd2In (PBE)

Data for Mg3Cd2In after structural relaxation.

Calculated values
**SG**: Cmmm, No. 65
**ΔE_f**: -0.08 eV/atom
**Total magnetic moment**: 0.00 μB per formula unit
**ΔE to the lowest computed polymorph**: 0.09 eV per formula unit

abc: 8.3839 8.3839 3.2586
angles: 90.00 90.00 144.06
With the nearest neighbours (Å) after each atom.
Atoms (fractional coordinates):
Mg: 0.0000 0.0000 0.0000  4 In 3.06, 4 Cd 3.10, 2 Mg 3.26
Mg: 0.3297 0.6703 0.0000  6 Cd 3.06-3.08, 2 In 3.17, 2 Mg 3.26
Mg: 0.6703 0.3297 0.0000  6 Cd 3.06-3.08, 2 In 3.17, 2 Mg 3.26
Cd: 0.1654 0.8346 0.5000  8 Mg 3.06-3.10, 2 Cd 3.26
Cd: 0.8346 0.1654 0.5000  8 Mg 3.06-3.10, 2 Cd 3.26
In: 0.5000 0.5000 0.5000  8 Mg 3.06-3.17, 2 In 3.26

No. 3
## MgCd2In2 (PBE)

Data for MgCd2In2 after structural relaxation.

Calculated values
**SG**: P4/mbm, No. 127
**ΔE_f**: 0.09 eV/atom
**Total magnetic moment**: 0.00 μB per formula unit
**ΔE to the lowest computed polymorph**: 0.52 eV per formula unit

abc: 8.4955 8.4955 3.5816
angles: 90.00 90.00 90.00
With the nearest neighbours (Å) after each atom.
Atoms (fractional coordinates):
Mg: 0.0000 0.0000 0.0000  4 In 3.32, 2 Mg 3.58, 8 Cd 3.63
Mg: 0.5000 0.5000 0.0000  4 In 3.32, 2 Mg 3.58, 8 Cd 3.63
Cd: 0.1687 0.3313 0.5000  6 In 2.98-3.14
Cd: 0.3313 0.8313 0.5000  6 In 2.98-3.14
Cd: 0.6687 0.1687 0.5000  6 In 2.98-3.14
Cd: 0.8313 0.6687 0.5000  6 In 2.98-3.14
In: 0.1325 0.6325 0.0000  6 Cd 2.98-3.14, 1 In 3.18, 2 Mg 3.32
In: 0.3675 0.1325 0.0000  6 Cd 2.98-3.14, 1 In 3.18, 2 Mg 3.32
In: 0.6325 0.8675 0.0000  6 Cd 2.98-3.14, 1 In 3.18, 2 Mg 3.32
In: 0.8675 0.3675 0.0000  6 Cd 2.98-3.14, 1 In 3.18, 2 Mg 3.32

No. 4
## Mg2CdIn (PBE)

Data for Mg2CdIn after structural relaxation.

Calculated values
**SG**: C2, No. 5
**ΔE_f**: -0.08 eV/atom
**Total magnetic moment**: 0.00 μB per formula unit

abc: 4.4702 4.4702 5.4129
angles: 111.74 111.74 92.69
With the nearest neighbours (Å) after each atom.
Atoms (fractional coordinates):
Mg: 0.0000 0.0000 0.0000  4 Cd 3.09-3.25, 4 In 3.15-3.24, 4 Mg 3.16-3.24
Mg: 0.7489 0.2511 0.5000  4 In 3.09-3.24, 4 Cd 3.14-3.25, 4 Mg 3.16-3.24
Cd: 0.5022 0.4978 0.0000  8 Mg 3.09-3.25, 4 In 3.16-3.23
In: 0.2494 0.7506 0.5000  8 Mg 3.09-3.24, 4 Cd 3.16-3.23

No. 5
## Mg2Cd5In3 (PBE)

Data for Mg2Cd5In3 after structural relaxation.

Calculated values
**SG**: C2/m, No. 12
**ΔE_f**: 0.02 eV/atom
**Total magnetic moment**: 0.00 μB per formula unit

abc: 5.7225 5.7225 10.1168
angles: 103.10 103.10 50.77
With the nearest neighbours (Å) after each atom.
Atoms (fractional coordinates):
Mg: 0.0497 0.0497 0.3235  4 Cd 2.95-3.15, 4 In 3.17-3.24
Mg: 0.9503 0.9503 0.6765  4 Cd 2.95-3.15, 4 In 3.17-3.24
Cd: 0.1545 0.1545 0.9395  1 Mg 2.95, 5 Cd 2.96-3.19, 2 In 3.07
Cd: 0.3156 0.3156 0.2260  4 Cd 2.94-3.03, 2 In 3.05, 1 Mg 3.15
Cd: 0.5000 0.5000 0.5000  2 Cd 2.94, 4 Mg 3.15, 2 In 3.17
Cd: 0.6844 0.6844 0.7740  4 Cd 2.94-3.03, 2 In 3.05, 1 Mg 3.15
Cd: 0.8455 0.8455 0.0605  1 Mg 2.95, 5 Cd 2.96-3.19, 2 In 3.07
In: 0.2451 0.2451 0.6200  3 Cd 3.05-3.17, 4 Mg 3.17-3.24
In: 0.5000 0.5000 0.0000  6 Cd 3.07-3.32
In: 0.7549 0.7549 0.3800  3 Cd 3.05-3.17, 4 Mg 3.17-3.24

No. 6
## MgCd6In2 (PBE)

Data for MgCd6In2 after structural relaxation.

Calculated values
**SG**: P-31m, No. 162
**ΔE_f**: 0.06 eV/atom
**Total magnetic moment**: 0.00 μB per formula unit
**ΔE to the lowest computed polymorph**: 0.40 eV per formula unit

abc: 8.8918 8.8918 3.1906
angles: 90.00 90.00 120.00
With the nearest neighbours (Å) after each atom.
Atoms (fractional coordinates):
Mg: 0.0000 0.0000 0.0000  6 Cd 3.01, 2 Mg 3.19
Cd: 0.0000 0.3248 0.2629  1 Mg 3.01, 2 In 3.10, 6 Cd 3.19-3.34
Cd: 0.0000 0.6752 0.7371  1 Mg 3.01, 2 In 3.10, 6 Cd 3.19-3.34
Cd: 0.3248 0.0000 0.2629  1 Mg 3.01, 2 In 3.10, 6 Cd 3.19-3.34
Cd: 0.3248 0.3248 0.7371  1 Mg 3.01, 2 In 3.10, 6 Cd 3.19-3.34
Cd: 0.6752 0.0000 0.7371  1 Mg 3.01, 2 In 3.10, 6 Cd 3.19-3.34
Cd: 0.6752 0.6752 0.2629  1 Mg 3.01, 2 In 3.10, 6 Cd 3.19-3.34
In: 0.3333 0.6667 0.5000  6 Cd 3.10, 2 In 3.19
In: 0.6667 0.3333 0.5000  6 Cd 3.10, 2 In 3.19

No. 7
## Mg2CdIn (PBE)

Data for Mg2CdIn after structural relaxation.

Calculated values
**SG**: P2/m, No. 10
**ΔE_f**: -0.10 eV/atom
**Total magnetic moment**: 0.00 μB per formula unit

abc: 3.2738 4.3021 6.4157
angles: 90.00 90.83 90.00
With the nearest neighbours (Å) after each atom.
Atoms (fractional coordinates):
Mg: 0.0028 0.0000 0.2552  4 Cd 3.11-3.14, 4 Mg 3.14-3.27, 4 In 3.15-3.17
Mg: 0.9972 0.0000 0.7448  4 Cd 3.11-3.14, 4 Mg 3.14-3.27, 4 In 3.15-3.17
Cd: 0.5000 0.5000 0.5000  8 Mg 3.11-3.14, 2 In 3.21, 2 Cd 3.27
In: 0.5000 0.5000 0.0000  8 Mg 3.15-3.17, 2 Cd 3.21, 2 In 3.27

No. 8
## Mg2Cd4In (PBE)

Data for Mg2Cd4In after structural relaxation.

Calculated values
**SG**: I4/mmm, No. 139
**ΔE_f**: 0.29 eV/atom
**Total magnetic moment**: 0.00 μB per formula unit
**ΔE to the lowest computed polymorph**: 2.31 eV per formula unit

abc: 8.2311 8.2311 8.2311
angles: 140.73 140.73 56.75
With the nearest neighbours (Å) after each atom.
Atoms (fractional coordinates):
Mg: 0.1061 0.1061 0.0000  1 Cd 2.79, 1 Mg 3.07
Mg: 0.8939 0.8939 0.0000  1 Cd 2.79, 1 Mg 3.07
Cd: 0.0000 0.5000 0.5000  2 In 2.77
Cd: 0.2984 0.2984 0.0000  1 Mg 2.79, 1 In 2.92
Cd: 0.5000 0.0000 0.5000  2 In 2.77
Cd: 0.7016 0.7016 0.0000  1 Mg 2.79, 1 In 2.92
In: 0.5000 0.5000 0.0000  6 Cd 2.77-2.92

No. 9
## MgCdIn (PBE)

Data for MgCdIn after structural relaxation.

Calculated values
**SG**: Fmm2, No. 42
**ΔE_f**: 0.01 eV/atom
**Total magnetic moment**: 0.00 μB per formula unit

abc: 7.8047 7.5251 3.2840
angles: 82.45 72.90 24.65
With the nearest neighbours (Å) after each atom.
Atoms (fractional coordinates):
Mg: 0.0000 0.0000 0.0000  2 Cd 2.95, 2 In 3.05, 4 Mg 3.28
Cd: 0.3399 0.3399 0.6601  2 Mg 2.95, 2 In 3.09, 4 Cd 3.28
In: 0.6685 0.6685 0.3315  2 Mg 3.05, 2 Cd 3.09, 4 In 3.28

No. 10
## Mg7CdIn12 (PBE)

Data for Mg7CdIn12 after structural relaxation.

Calculated values
**SG**: R-3, No. 148
**ΔE_f**: 0.02 eV/atom
**Total magnetic moment**: 0.00 μB per formula unit
**ΔE to the lowest computed polymorph**: 0.54 eV per formula unit

abc: 8.0879 8.0879 8.0879
angles: 97.09 97.09 97.09
With the nearest neighbours (Å) after each atom.
Atoms (fractional coordinates):
Mg: 0.0000 0.0000 0.0000  6 In 3.00
Mg: 0.1159 0.3645 0.4027  4 In 3.05-3.24, 1 Cd 3.13, 2 Mg 3.27
Mg: 0.3645 0.4027 0.1159  4 In 3.05-3.24, 1 Cd 3.13, 2 Mg 3.27
Mg: 0.4027 0.1159 0.3645  4 In 3.05-3.24, 1 Cd 3.13, 2 Mg 3.27
Mg: 0.5973 0.8841 0.6355  4 In 3.05-3.24, 1 Cd 3.13, 2 Mg 3.27
Mg: 0.6355 0.5973 0.8841  4 In 3.05-3.24, 1 Cd 3.13, 2 Mg 3.27
Mg: 0.8841 0.6355 0.5973  4 In 3.05-3.24, 1 Cd 3.13, 2 Mg 3.27
Cd: 0.5000 0.5000 0.5000  6 Mg 3.13, 6 In 3.14
In: 0.0209 0.3422 0.8915  3 In 2.95-3.13, 2 Mg 3.00-3.07
In: 0.1085 0.9791 0.6578  3 In 2.95-3.13, 2 Mg 3.00-3.07
In: 0.2462 0.6127 0.7409  4 In 2.95-3.22, 3 Mg 3.05-3.24, 1 Cd 3.14
In: 0.2591 0.7538 0.3873  4 In 2.95-3.22, 3 Mg 3.05-3.24, 1 Cd 3.14
In: 0.3422 0.8915 0.0209  3 In 2.95-3.13, 2 Mg 3.00-3.07
In: 0.3873 0.2591 0.7538  4 In 2.95-3.22, 3 Mg 3.05-3.24, 1 Cd 3.14
In: 0.6127 0.7409 0.2462  4 In 2.95-3.22, 3 Mg 3.05-3.24, 1 Cd 3.14
In: 0.6578 0.1085 0.9791  3 In 2.95-3.13, 2 Mg 3.00-3.07
In: 0.7409 0.2462 0.6127  4 In 2.95-3.22, 3 Mg 3.05-3.24, 1 Cd 3.14
In: 0.7538 0.3873 0.2591  4 In 2.95-3.22, 3 Mg 3.05-3.24, 1 Cd 3.14
In: 0.8915 0.0209 0.3422  3 In 2.95-3.13, 2 Mg 3.00-3.07
In: 0.9791 0.6578 0.1085  3 In 2.95-3.13, 2 Mg 3.00-3.07

No. 11
## Mg2CdIn8 (PBE)

Data for Mg2CdIn8 after structural relaxation.

Calculated values
**SG**: C2/m, No. 12
**ΔE_f**: 0.01 eV/atom
**Total magnetic moment**: 0.00 μB per formula unit
**ΔE to the lowest computed polymorph**: 0.06 eV per formula unit

abc: 10.3633 10.3633 6.5661
angles: 107.36 107.36 25.53
With the nearest neighbours (Å) after each atom.
Atoms (fractional coordinates):
Mg: 0.1999 0.1999 0.1014  9 In 3.04-3.30
Mg: 0.8001 0.8001 0.8986  9 In 3.04-3.30
Cd: 0.5000 0.5000 0.5000  8 In 2.94-3.12
In: 0.0335 0.0335 0.8239  3 In 3.02-3.23, 2 Cd 3.06, 1 Mg 3.30
In: 0.2084 0.2084 0.5868  4 Mg 3.14-3.44, 6 In 3.15-3.39
In: 0.3573 0.3573 0.2076  1 Cd 2.94, 3 Mg 3.04, 5 In 3.15-3.28
In: 0.3911 0.3911 0.7504  1 Cd 3.12, 2 Mg 3.27, 4 In 3.28-3.42
In: 0.6089 0.6089 0.2496  1 Cd 3.12, 2 Mg 3.27, 4 In 3.28-3.42
In: 0.6427 0.6427 0.7924  1 Cd 2.94, 3 Mg 3.04, 5 In 3.15-3.28
In: 0.7916 0.7916 0.4132  4 Mg 3.14-3.44, 6 In 3.15-3.39
In: 0.9665 0.9665 0.1761  3 In 3.02-3.23, 2 Cd 3.06, 1 Mg 3.30

No. 12
## Mg2CdIn3 (PBE)

Data for Mg2CdIn3 after structural relaxation.

Calculated values
**SG**: C2/m, No. 12
**ΔE_f**: -0.04 eV/atom
**Total magnetic moment**: 0.00 μB per formula unit
**ΔE to the lowest computed polymorph**: 0.00 eV per formula unit

abc: 5.8661 5.8661 10.0749
angles: 94.58 94.58 122.36
With the nearest neighbours (Å) after each atom.
Atoms (fractional coordinates):
Mg: 0.0000 0.0000 0.0000  6 In 3.09-3.20, 6 Cd 3.30-3.44
Mg: 0.1692 0.8308 0.5000  6 In 3.09-3.16, 5 Mg 3.28-3.40
Mg: 0.5000 0.5000 0.5000  6 In 3.08-3.14, 6 Mg 3.32-3.40
Mg: 0.8308 0.1692 0.5000  6 In 3.09-3.16, 5 Mg 3.28-3.40
Cd: 0.3344 0.6656 0.0000  6 In 3.09-3.22, 3 Mg 3.30-3.44, 3 Cd 3.32-3.41
Cd: 0.6656 0.3344 0.0000  6 In 3.09-3.22, 3 Mg 3.30-3.44, 3 Cd 3.32-3.41
In: 0.0911 0.4229 0.2526  2 Cd 3.09-3.22, 4 Mg 3.09-3.20, 6 In 3.30-3.43
In: 0.2421 0.2421 0.7469  4 Mg 3.08-3.16, 2 Cd 3.21, 6 In 3.30-3.43
In: 0.4229 0.0911 0.2526  2 Cd 3.09-3.22, 4 Mg 3.09-3.20, 6 In 3.30-3.43
In: 0.5771 0.9089 0.7474  2 Cd 3.09-3.22, 4 Mg 3.09-3.20, 6 In 3.30-3.43
In: 0.7579 0.7579 0.2531  4 Mg 3.08-3.16, 2 Cd 3.21, 6 In 3.30-3.43
In: 0.9089 0.5771 0.7474  2 Cd 3.09-3.22, 4 Mg 3.09-3.20, 6 In 3.30-3.43